1.
Computed, not measured: SbTe3C after structural relaxation at the PBE-GGA level of DFT.

## Properties
The relative energy among the computed polymorphs comes out at 0.000 eV per atom. As for the crystal system: cubic. The calculation puts the size of the total moment at 0.00 μB per formula unit.

Unit cell a=4.8697 b=4.8697 c=4.8697 alpha=90.00 beta=90.00 gamma=90.00
Atoms (fractional coordinates):
Sb (0.0000, 0.0000, 0.0000)
Te (0.0000, 0.5000, 0.5000)
Te (0.5000, 0.0000, 0.5000)
Te (0.5000, 0.5000, 0.0000)
C (0.5000, 0.5000, 0.5000)

***

2.
Computed, not measured: SbTeC2 after structural relaxation at the PBE-GGA level of DFT.

## Properties
The relative energy among the computed polymorphs comes out at 0.676 eV per atom. As for the crystal system: cubic. The calculation puts the size of the total moment at 0.00 μB per formula unit.

Unit cell a=6.2361 b=6.2361 c=6.2361 alpha=90.00 beta=90.00 gamma=90.00
Atoms (fractional coordinates):
Sb (0.0000, 0.0000, 0.0000)
Sb (0.0000, 0.5000, 0.5000)
Sb (0.5000, 0.0000, 0.5000)
Sb (0.5000, 0.5000, 0.0000)
Te (0.0000, 0.0000, 0.5000)
Te (0.0000, 0.5000, 0.0000)
Te (0.5000, 0.0000, 0.0000)
Te (0.5000, 0.5000, 0.5000)
C (0.2500, 0.2500, 0.2500)
C (0.2500, 0.2500, 0.7500)
C (0.2500, 0.7500, 0.2500)
C (0.2500, 0.7500, 0.7500)
C (0.7500, 0.2500, 0.2500)
C (0.7500, 0.2500, 0.7500)
C (0.7500, 0.7500, 0.2500)
C (0.7500, 0.7500, 0.7500)

***

3.
Computed, not measured: SbTeC3 after structural relaxation at the PBE-GGA level of DFT.

## Properties
The relative energy among the computed polymorphs comes out at 0.000 eV per atom. As for the crystal system: cubic. The calculation puts the size of the total moment at 0.00 μB per formula unit.

Unit cell a=4.2112 b=4.2112 c=4.2112 alpha=90.00 beta=90.00 gamma=90.00
Atoms (fractional coordinates):
Sb (0.0000, 0.0000, 0.0000)
Te (0.5000, 0.5000, 0.5000)
C (0.0000, 0.5000, 0.5000)
C (0.5000, 0.0000, 0.5000)
C (0.5000, 0.5000, 0.0000)